# 1
First-principles (PBE) data for an optimized crystal structure of Y2CdRu, as listed in Alexandria.

- E: -24.203 eV per formula unit
- Total magnetic moment: 0.0 μB/f.u.

```
data_Y2CdRu
_chemical_formula_sum 'Y2 Cd1 Ru1'
_space_group_name_H-M_alt 'P 4/m m m'
_space_group_IT_number 123
_space_group_name_Hall '-P 4 2'
_cell_length_a 5.008
_cell_length_b 5.008
_cell_length_c 3.624
_cell_angle_alpha 90.00
_cell_angle_beta 90.00
_cell_angle_gamma 90.00
loop_
_atom_site_label
_atom_site_type_symbol
_atom_site_fract_x
_atom_site_fract_y
_atom_site_fract_z
Y1 Y 0.000 0.500 0.000
Cd1 Cd 0.000 0.000 0.500
Ru1 Ru 0.500 0.500 0.500
```



# 2
First-principles (PBE) data for an optimized crystal structure of Y4CdRu3, as listed in Alexandria.

- E: -57.193 eV per formula unit
- Total magnetic moment: 0.0 μB/f.u.

```
data_Y4CdRu3
_chemical_formula_sum 'Y4 Cd1 Ru3'
_space_group_name_H-M_alt 'P 4/m m m'
_space_group_IT_number 123
_space_group_name_Hall '-P 4 2'
_cell_length_a 4.895
_cell_length_b 4.895
_cell_length_c 7.101
_cell_angle_alpha 90.00
_cell_angle_beta 90.00
_cell_angle_gamma 90.00
loop_
_atom_site_label
_atom_site_type_symbol
_atom_site_fract_x
_atom_site_fract_y
_atom_site_fract_z
Y1 Y 0.000 0.500 0.235
Cd1 Cd 0.000 0.000 0.500
Ru1 Ru 0.000 0.000 0.000
Ru2 Ru 0.500 0.500 0.000
Ru3 Ru 0.500 0.500 0.500
```



# 3
First-principles (PBE) data for an optimized crystal structure of Y2CdRu, as listed in Alexandria.

- E: -22.989 eV per formula unit
- Total magnetic moment: 0.0 μB/f.u.

```
data_Y2CdRu
_chemical_formula_sum 'Y8 Cd4 Ru4'
_space_group_name_H-M_alt 'I -4 2 d'
_space_group_IT_number 122
_space_group_name_Hall 'I -4 2bw'
_cell_length_a 8.049
_cell_length_b 8.049
_cell_length_c 6.187
_cell_angle_alpha 90.00
_cell_angle_beta 90.00
_cell_angle_gamma 90.00
loop_
_atom_site_label
_atom_site_type_symbol
_atom_site_fract_x
_atom_site_fract_y
_atom_site_fract_z
Y1 Y 0.194 0.250 0.125
Cd1 Cd 0.000 0.000 0.500
Ru1 Ru 0.000 0.000 0.000
```



# 4
First-principles (PBE) data for an optimized crystal structure of Y5CdRu, as listed in Alexandria.

- E: -43.412 eV per formula unit
- Total magnetic moment: 0.0 μB/f.u.

```
data_Y5CdRu
_chemical_formula_sum 'Y20 Cd4 Ru4'
_space_group_name_H-M_alt 'C 1 2/c 1'
_space_group_IT_number 15
_cell_length_a 9.316
_cell_length_b 7.436
_cell_length_c 11.876
_cell_angle_alpha 90.00
_cell_angle_beta 106.26
_cell_angle_gamma 90.00
loop_
_space_group_symop_operation_xyz
'x,y,z'
'-x,-y,-z'
'-x,y,-z+1/2'
'x,-y,z+1/2'
'x+1/2,y+1/2,z'
'-x+1/2,-y+1/2,-z'
'-x+1/2,y+1/2,-z+1/2'
'x+1/2,-y+1/2,z+1/2'
loop_
_atom_site_label
_atom_site_type_symbol
_atom_site_fract_x
_atom_site_fract_y
_atom_site_fract_z
Y1 Y 0.000 0.004 0.250
Y2 Y 0.123 0.330 0.064
Y3 Y 0.248 0.166 0.625
Cd1 Cd 0.000 0.407 0.750
Ru1 Ru 0.000 0.000 0.000
```



# 5
First-principles (PBE) data for an optimized crystal structure of Y2CdRu, as listed in Alexandria.

- E: -23.145 eV per formula unit
- Total magnetic moment: 0.0 μB/f.u.

```
data_Y2CdRu
_chemical_formula_sum 'Y8 Cd4 Ru4'
_space_group_name_H-M_alt 'F -4 3 m'
_space_group_IT_number 216
_space_group_name_Hall 'F -4 2 3'
_cell_length_a 7.019
_cell_length_b 7.019
_cell_length_c 7.019
_cell_angle_alpha 90.00
_cell_angle_beta 90.00
_cell_angle_gamma 90.00
loop_
_atom_site_label
_atom_site_type_symbol
_atom_site_fract_x
_atom_site_fract_y
_atom_site_fract_z
Y1 Y 0.000 0.000 0.000
Y2 Y 0.250 0.250 0.250
Cd1 Cd 0.000 0.000 0.500
Ru1 Ru 0.250 0.250 0.750
```



# 6
First-principles (PBE) data for an optimized crystal structure of Y2CdRu, as listed in Alexandria.

- E: -23.296 eV per formula unit
- Total magnetic moment: 0.2 μB/f.u.

```
data_Y2CdRu
_chemical_formula_sum 'Y2 Cd1 Ru1'
_space_group_name_H-M_alt 'P 4 m m'
_space_group_IT_number 99
_cell_length_a 3.440
_cell_length_b 3.440
_cell_length_c 8.166
_cell_angle_alpha 90.00
_cell_angle_beta 90.00
_cell_angle_gamma 90.00
loop_
_space_group_symop_operation_xyz
'x,y,z'
'-y,x,z'
'-x,-y,z'
'y,-x,z'
'-x,y,z'
'y,x,z'
'x,-y,z'
'-y,-x,z'
loop_
_atom_site_label
_atom_site_type_symbol
_atom_site_fract_x
_atom_site_fract_y
_atom_site_fract_z
Y1 Y 0.000 0.000 0.000
Y2 Y 0.500 0.500 0.362
Cd1 Cd 0.000 0.000 0.619
Ru1 Ru 0.500 0.500 0.809
```



# 7
First-principles (PBE) data for an optimized crystal structure of YCd3Ru, as listed in Alexandria.

- E: -16.716 eV per formula unit
- Relative energy among the computed polymorphs: 0.0 meV per atom
- Total magnetic moment: 0.0 μB/f.u.

```
data_YCd3Ru
_chemical_formula_sum 'Y1 Cd3 Ru1'
_space_group_name_H-M_alt 'P m -3 m'
_space_group_IT_number 221
_space_group_name_Hall '-P 4 2 3'
_cell_length_a 5.097
_cell_length_b 5.097
_cell_length_c 5.097
_cell_angle_alpha 90.00
_cell_angle_beta 90.00
_cell_angle_gamma 90.00
loop_
_atom_site_label
_atom_site_type_symbol
_atom_site_fract_x
_atom_site_fract_y
_atom_site_fract_z
Y1 Y 0.000 0.000 0.000
Cd1 Cd 0.000 0.500 0.500
Ru1 Ru 0.500 0.500 0.500
```



# 8
First-principles (PBE) data for an optimized crystal structure of Y3Cd2Ru, as listed in Alexandria.

- E: -32.698 eV per formula unit
- Total magnetic moment: 0.0 μB/f.u.

```
data_Y3Cd2Ru
_chemical_formula_sum 'Y12 Cd8 Ru4'
_space_group_name_H-M_alt 'C m m m'
_space_group_IT_number 65
_space_group_name_Hall '-C 2 2'
_cell_length_a 5.073
_cell_length_b 15.111
_cell_length_c 7.548
_cell_angle_alpha 90.00
_cell_angle_beta 90.00
_cell_angle_gamma 90.00
loop_
_atom_site_label
_atom_site_type_symbol
_atom_site_fract_x
_atom_site_fract_y
_atom_site_fract_z
Y1 Y 0.000 0.000 0.231
Y2 Y 0.000 0.326 0.222
Cd1 Cd 0.000 0.166 0.500
Cd2 Cd 0.000 0.500 0.000
Cd3 Cd 0.000 0.500 0.500
Ru1 Ru 0.000 0.163 0.000
```



# 9
First-principles (PBE) data for an optimized crystal structure of Y10Cd3Ru, as listed in Alexandria.

- E: -80.525 eV per formula unit
- Total magnetic moment: 0.0 μB/f.u.

```
data_Y10Cd3Ru
_chemical_formula_sum 'Y20 Cd6 Ru2'
_space_group_name_H-M_alt 'P 63/m m c'
_space_group_IT_number 194
_space_group_name_Hall '-P 6c 2c'
_cell_length_a 9.6602
_cell_length_b 9.6602
_cell_length_c 9.8350
_cell_angle_alpha 90.00
_cell_angle_beta 90.00
_cell_angle_gamma 120.00
loop_
_atom_site_label
_atom_site_type_symbol
_atom_site_fract_x
_atom_site_fract_y
_atom_site_fract_z
Y1 Y 0.0000 0.0000 0.0000
Y2 Y 0.0828 0.5414 0.2500
Y3 Y 0.2097 0.4194 0.5601
Cd1 Cd 0.1150 0.2301 0.2500
Ru1 Ru 0.3333 0.6667 0.7500
```



# 10
First-principles (PBE) data for an optimized crystal structure of Y2CdRu, as listed in Alexandria.

- E: -22.514 eV per formula unit
- Total magnetic moment: 0.0 μB/f.u.

```
data_Y2CdRu
_chemical_formula_sum 'Y4 Cd2 Ru2'
_space_group_name_H-M_alt 'I m m m'
_space_group_IT_number 71
_space_group_name_Hall '-I 2 2'
_cell_length_a 3.590
_cell_length_b 4.019
_cell_length_c 15.332
_cell_angle_alpha 90.00
_cell_angle_beta 90.00
_cell_angle_gamma 90.00
loop_
_atom_site_label
_atom_site_type_symbol
_atom_site_fract_x
_atom_site_fract_y
_atom_site_fract_z
Y1 Y 0.000 0.000 0.164
Cd1 Cd 0.000 0.000 0.500
Ru1 Ru 0.000 0.000 0.000
```



# 11
First-principles (PBE) data for an optimized crystal structure of YCdRu3, as listed in Alexandria.

- E: -26.301 eV per formula unit
- Relative energy among the computed polymorphs: 275.2 meV per atom
- Total magnetic moment: 4.3 μB/f.u.

```
data_YCdRu3
_chemical_formula_sum 'Y1 Cd1 Ru3'
_space_group_name_H-M_alt 'P m -3 m'
_space_group_IT_number 221
_space_group_name_Hall '-P 4 2 3'
_cell_length_a 4.913
_cell_length_b 4.913
_cell_length_c 4.913
_cell_angle_alpha 90.00
_cell_angle_beta 90.00
_cell_angle_gamma 90.00
loop_
_atom_site_label
_atom_site_type_symbol
_atom_site_fract_x
_atom_site_fract_y
_atom_site_fract_z
Y1 Y 0.000 0.000 0.000
Cd1 Cd 0.500 0.500 0.500
Ru1 Ru 0.000 0.000 0.500
```



# 12
First-principles (PBE) data for an optimized crystal structure of Y2CdRu, as listed in Alexandria.

- E: -23.403 eV per formula unit
- Total magnetic moment: 0.0 μB/f.u.

```
data_Y2CdRu
_chemical_formula_sum 'Y4 Cd2 Ru2'
_space_group_name_H-M_alt 'I -4 m 2'
_space_group_IT_number 119
_space_group_name_Hall 'I -4 -2'
_cell_length_a 4.371
_cell_length_b 4.371
_cell_length_c 9.397
_cell_angle_alpha 90.00
_cell_angle_beta 90.00
_cell_angle_gamma 90.00
loop_
_atom_site_label
_atom_site_type_symbol
_atom_site_fract_x
_atom_site_fract_y
_atom_site_fract_z
Y1 Y 0.000 0.000 0.000
Y2 Y 0.000 0.500 0.250
Cd1 Cd 0.000 0.500 0.750
Ru1 Ru 0.000 0.000 0.500
```



Across the entries above, V takes the values 22.72; 21.27; 25.06; 28.21; 21.61; 24.16; 26.49; 24.11; 28.39; 27.65; 23.72; 22.44 A^3/atom, respectively.
Across the entries above, formation energy from the elements takes the values -271; -324; 33; -129; -6; -44; 354; -367; -276; 151; 1781; -71 meV per atom, respectively.